Material: KCrF
Method: DFT, PBE+U
State: relaxed

Geometry as POSCAR:
```
KCrF
1.0
3.397 0.000 0.000
0.001 3.554 0.000
1.691 0.101 11.157
K Cr F
2 2 2
Cartesian
0.000 0.000 0.000
1.692 1.861 7.909
1.705 1.788 2.995
3.404 3.568 4.839
1.699 1.778 0.905
3.390 0.086 8.953
```

Total moment: 9.7 μB/cell
Relative energy among the computed polymorphs: 11 meV per atom
Symmetry: P1, No. 1
DOS at the Fermi energy: 0.803 states/eV/f.u.
Total DFT energy (no corrections): -14.20 eV/f.u.